Entry from Alexandria via LeMat-Bulk: a relaxed structure of Th2OsRu (PBE-GGA).

Values from the calculation:
* ΔE to the lowest computed polymorph: 175.8 meV/atom
* total magnetization: 0.00 μB/atom

Unit cell a=3.7102 b=4.9238 c=4.9238 alpha=90.00 beta=90.00 gamma=90.00
Last column: nearest neighbours and their distance in Å.
Fractional positions:
Th1 0.0000 0.5000 0.0000  4 Os 3.08, 4 Ru 3.08
Os1 0.5000 0.5000 0.5000  8 Th 3.08
Th2 0.0000 0.0000 0.5000  4 Os 3.08, 4 Ru 3.08
Ru1 0.5000 0.0000 0.0000  8 Th 3.08